1.
# Rb2BiBr6

A relaxed Rb2BiBr6 crystal (PBE-GGA, the Alexandria database).

Cell lengths 6.971, 8.494, 8.518 Å; angles 60.12, 78.53, 65.86 degrees
Fractional positions:
Rb1 0.002 0.167 0.164
Rb2 0.998 0.833 0.836
Bi1 0.000 0.500 0.500
Br1 0.235 0.697 0.502
Br2 0.260 0.419 0.229
Br3 0.261 0.146 0.772
Br4 0.739 0.854 0.228
Br5 0.740 0.581 0.771
Br6 0.765 0.303 0.498

Calculated values
electronic total energy: -2.809 eV per atom
formation energy (no corrections): -1.048 eV/atom
theoretical density: 3.58 g cm⁻³
crystal system: triclinic

***

2.
# Na2CaI

A relaxed Na2CaI crystal (PBE-GGA, the Alexandria database).

Cell lengths 4.138, 4.138, 34.306 Å; angles 90.00, 90.00, 120.00 degrees
Fractional positions:
Na1 0.000 0.000 0.106
Na2 0.000 0.000 0.894
Na3 0.333 0.667 0.561
Na4 0.333 0.667 0.773
Na5 0.667 0.333 0.227
Na6 0.667 0.333 0.439
Ca1 0.000 0.000 0.000
Ca2 0.333 0.667 0.667
Ca3 0.667 0.333 0.333
I1 0.000 0.000 0.500
I2 0.333 0.667 0.167
I3 0.667 0.333 0.833

Calculated values
electronic total energy: -1.941 eV per atom
formation energy (no corrections): -0.394 eV/atom
relative energy among the computed polymorphs: 45.4 meV per atom
theoretical density: 2.09 g cm⁻³
crystal system: trigonal

***

3.
# PmTmCdPb

A relaxed PmTmCdPb crystal (PBE-GGA, the Alexandria database).

Cell lengths 7.599, 7.599, 7.599 Å; angles 90.00, 90.00, 90.00 degrees
Fractional positions:
Pm1 0.000 0.000 0.000
Pm2 0.000 0.500 0.500
Pm3 0.500 0.000 0.500
Pm4 0.500 0.500 0.000
Tm1 0.000 0.000 0.500
Tm2 0.000 0.500 0.000
Tm3 0.500 0.000 0.000
Tm4 0.500 0.500 0.500
Cd1 0.250 0.250 0.250
Cd2 0.250 0.750 0.750
Cd3 0.750 0.250 0.750
Cd4 0.750 0.750 0.250
Pb1 0.250 0.250 0.750
Pb2 0.250 0.750 0.250
Pb3 0.750 0.250 0.250
Pb4 0.750 0.750 0.750

Calculated values
electronic total energy: -3.839 eV per atom
calculated formation energy: -0.38 eV/atom
theoretical density: 9.59 g cm⁻³
crystal system: cubic

***

4.
# BaRe4Tc

A relaxed BaRe4Tc crystal (PBE-GGA, the Alexandria database).

Cell lengths 5.391, 5.391, 5.391 Å; angles 60.00, 60.00, 60.00 degrees
Fractional positions:
Ba1 0.000 0.000 0.000
Re1 0.126 0.625 0.625
Re2 0.625 0.126 0.625
Re3 0.625 0.625 0.126
Re4 0.625 0.625 0.625
Tc1 0.250 0.250 0.250

Calculated values
electronic total energy: -9.342 eV per atom
calculated formation energy: 1.00 eV/atom
theoretical density: 14.69 g cm⁻³
crystal system: cubic

***

5.
# CaP2Rh

A relaxed CaP2Rh crystal (PBE-GGA, the Alexandria database).

Cell lengths 6.469, 6.469, 6.469 Å; angles 90.00, 90.00, 90.00 degrees
Fractional positions:
Ca1 0.000 0.000 0.000
Ca2 0.000 0.500 0.500
Ca3 0.500 0.000 0.500
Ca4 0.500 0.500 0.000
P1 0.000 0.000 0.500
P2 0.000 0.500 0.000
P3 0.250 0.250 0.750
P4 0.250 0.750 0.250
P5 0.500 0.000 0.000
P6 0.500 0.500 0.500
P7 0.750 0.250 0.250
P8 0.750 0.750 0.750
Rh1 0.250 0.250 0.250
Rh2 0.250 0.750 0.750
Rh3 0.750 0.250 0.750
Rh4 0.750 0.750 0.250

Calculated values
electronic total energy: -5.036 eV per atom
calculated formation energy: 0.01 eV/atom
relative energy among the computed polymorphs: 830.4 meV per atom
theoretical density: 5.03 g cm⁻³
crystal system: cubic

***

6.
# Nd5Tl6Cd

A relaxed Nd5Tl6Cd crystal (PBE-GGA, the Alexandria database).

Cell lengths 9.575, 9.575, 5.325 Å; angles 105.92, 105.92, 49.38 degrees
Fractional positions:
Nd1 0.000 0.000 0.000
Nd2 0.177 0.177 0.676
Nd3 0.360 0.360 0.360
Nd4 0.640 0.640 0.640
Nd5 0.823 0.823 0.324
Tl1 0.075 0.589 0.833
Tl2 0.228 0.772 0.500
Tl3 0.411 0.925 0.167
Tl4 0.589 0.075 0.833
Tl5 0.772 0.228 0.500
Tl6 0.925 0.411 0.167
Cd1 0.500 0.500 0.000

Calculated values
electronic total energy: -3.577 eV per atom
calculated formation energy: -0.33 eV/atom
theoretical density: 9.68 g cm⁻³
crystal system: monoclinic

***

7.
# VFe2Rh4

A relaxed VFe2Rh4 crystal (PBE-GGA, the Alexandria database).

Cell lengths 4.534, 4.534, 11.840 Å; angles 90.00, 90.00, 90.00 degrees
Fractional positions:
V1 0.000 0.000 0.000
V2 0.500 0.500 0.500
Fe1 0.000 0.000 0.393
Fe2 0.000 0.000 0.607
Fe3 0.500 0.500 0.107
Fe4 0.500 0.500 0.893
Rh1 0.000 0.000 0.190
Rh2 0.000 0.000 0.810
Rh3 0.000 0.500 0.000
Rh4 0.000 0.500 0.500
Rh5 0.500 0.000 0.000
Rh6 0.500 0.000 0.500
Rh7 0.500 0.500 0.310
Rh8 0.500 0.500 0.690

Calculated values
electronic total energy: -7.139 eV per atom
calculated formation energy: 0.78 eV/atom
theoretical density: 7.84 g cm⁻³
crystal system: tetragonal

***

8.
# AsP2Pb2

A relaxed AsP2Pb2 crystal (PBE-GGA, the Alexandria database).

Cell lengths 7.513, 7.513, 4.209 Å; angles 90.00, 90.00, 90.00 degrees
Fractional positions:
As1 0.000 0.000 0.000
As2 0.500 0.500 0.000
P1 0.171 0.329 0.000
P2 0.329 0.829 0.000
P3 0.671 0.171 0.000
P4 0.829 0.671 0.000
Pb1 0.153 0.653 0.500
Pb2 0.347 0.153 0.500
Pb3 0.653 0.847 0.500
Pb4 0.847 0.347 0.500

Calculated values
electronic total energy: -4.258 eV per atom
calculated formation energy: 0.32 eV/atom
relative energy among the computed polymorphs: 61.6 meV per atom
theoretical density: 7.71 g cm⁻³
crystal system: tetragonal